1.
A plane-wave DFT calculation with PBE-GGA was carried out for a relaxed structure of SiTeMoRh.

The structure in POSCAR format:
```
SiTeMoRh
1.0
-1.5549 1.5549 7.1862
1.5549 -1.5549 7.1862
1.5549 1.5549 -7.1862
Si Te Mo Rh
1 1 1 1
Direct
0.0000 0.0000 0.0000
0.2309 0.2309 0.0000
0.6116 0.6116 0.0000
0.4162 0.4162 0.0000
```

- Energy above the lowest structure with this stoichiometry: 70 meV per atom
- Magnetic moment: 0.00 μB/atom
- Crystal system: tetragonal
- Uncorrected formation energy: -0.20 eV/atom

2.
A plane-wave DFT calculation with PBE-GGA was carried out for a relaxed structure of SiTeMoRh.

The structure in POSCAR format:
```
SiTeMoRh
1.0
3.2088 0.0000 0.0000
0.0000 1.6938 6.7216
0.0000 -1.6938 6.7216
Si Te Mo Rh
1 1 1 1
Direct
0.0000 0.0000 0.0000
0.5000 0.2507 0.2507
0.0000 0.6399 0.6399
0.5000 0.4524 0.4524
```

- Energy above the lowest structure with this stoichiometry: 20 meV per atom
- Magnetic moment: 0.00 μB/atom
- Crystal system: orthorhombic
- Uncorrected formation energy: -0.25 eV/atom

3.
A plane-wave DFT calculation with PBE-GGA was carried out for a relaxed structure of SiTeMoRh.

The structure in POSCAR format:
```
SiTeMoRh
1.0
3.4578 0.0000 0.0000
0.0000 1.6048 6.1101
0.0000 -1.6048 6.1101
Si Te Mo Rh
1 1 1 1
Direct
0.0000 0.0000 0.0000
0.0000 0.2382 0.2382
0.5000 0.5869 0.5869
0.5000 0.8735 0.8735
```

- Energy above the lowest structure with this stoichiometry: 152 meV per atom
- Magnetic moment: 0.00 μB/atom
- Crystal system: orthorhombic
- Uncorrected formation energy: -0.12 eV/atom

4.
A plane-wave DFT calculation with PBE-GGA was carried out for a relaxed structure of SiTeMoRh.

The structure in POSCAR format:
```
SiTeMoRh
1.0
3.2821 -1.7954 0.0000
3.2821 1.7954 0.0000
-1.2812 0.0000 6.2981
Si Te Mo Rh
1 1 1 1
Direct
0.0000 0.0000 0.0000
0.1098 0.1098 0.4966
0.3761 0.3761 0.2166
0.6460 0.6460 0.8513
```

- Energy above the lowest structure with this stoichiometry: 122 meV per atom
- Magnetic moment: 0.00 μB/atom
- Crystal system: monoclinic
- Uncorrected formation energy: -0.15 eV/atom

5.
A plane-wave DFT calculation with PBE-GGA was carried out for a relaxed structure of SiTeMoRh.

The structure in POSCAR format:
```
SiTeMoRh
1.0
1.7077 0.9859 7.4196
-1.7077 0.9859 7.4196
0.0000 -1.9719 7.4196
Si Te Mo Rh
1 1 1 1
Direct
0.0000 0.0000 0.0000
0.1580 0.1580 0.1580
0.4096 0.4096 0.4096
0.2779 0.2779 0.2779
```

- Energy above the lowest structure with this stoichiometry: 0 meV per atom
- Magnetic moment: 0.00 μB/atom
- Crystal system: trigonal
- Uncorrected formation energy: -0.27 eV/atom

6.
A plane-wave DFT calculation with PBE-GGA was carried out for a relaxed structure of SiTeMoRh.

The structure in POSCAR format:
```
SiTeMoRh
1.0
3.3780 0.0000 0.0000
0.0000 3.3780 0.0000
0.0000 0.0000 6.0700
Si Te Mo Rh
1 1 1 1
Direct
0.0000 0.0000 0.0000
0.5000 0.5000 0.3708
0.0000 0.0000 0.5889
0.5000 0.5000 0.9206
```

- Energy above the lowest structure with this stoichiometry: 211 meV per atom
- Magnetic moment: 0.10 μB/atom
- Crystal system: tetragonal
- Uncorrected formation energy: -0.06 eV/atom

7.
A plane-wave DFT calculation with PBE-GGA was carried out for a relaxed structure of SiTeMoRh.

The structure in POSCAR format:
```
SiTeMoRh
1.0
3.3547 0.0000 0.0000
0.0000 4.7819 0.0000
-1.6012 0.0000 4.7214
Si Te Mo Rh
1 1 1 1
Direct
0.0000 0.0000 0.0000
0.7900 0.5000 0.6128
0.0858 0.5000 0.1839
0.6654 0.0000 0.3472
```

- Energy above the lowest structure with this stoichiometry: 239 meV per atom
- Magnetic moment: 0.00 μB/atom
- Crystal system: monoclinic
- Uncorrected formation energy: -0.03 eV/atom

8.
A plane-wave DFT calculation with PBE-GGA was carried out for a relaxed structure of YSi2MoRh.

The structure in POSCAR format:
```
YSi2MoRh
1.0
4.5491 0.0000 0.0000
0.0000 4.5491 0.0000
0.0000 0.0000 4.9575
Y Si Mo Rh
1 2 1 1
Direct
0.0000 0.0000 0.0000
0.0000 0.5000 0.5000
0.5000 0.0000 0.5000
0.5000 0.5000 0.0000
0.5000 0.5000 0.5000
```

- Energy above the lowest structure with this stoichiometry: 0 meV per atom
- Magnetic moment: 0.14 μB/atom
- Crystal system: tetragonal
- Uncorrected formation energy: 0.40 eV/atom

Number 4 is which compound? SiTeMoRh

Repeat the fourth record exactly.
A plane-wave DFT calculation with PBE-GGA was carried out for a relaxed structure of SiTeMoRh.

The structure in POSCAR format:
```
SiTeMoRh
1.0
3.2821 -1.7954 0.0000
3.2821 1.7954 0.0000
-1.2812 0.0000 6.2981
Si Te Mo Rh
1 1 1 1
Direct
0.0000 0.0000 0.0000
0.1098 0.1098 0.4966
0.3761 0.3761 0.2166
0.6460 0.6460 0.8513
```

- Energy above the lowest structure with this stoichiometry: 122 meV per atom
- Magnetic moment: 0.00 μB/atom
- Crystal system: monoclinic
- Uncorrected formation energy: -0.15 eV/atom